The following is a DFT calculation (PBE) of a relaxed structure of ScCdBr2.

```
data_ScCdBr2
_chemical_formula_sum 'Sc4 Cd4 Br8'
_cell_length_a 9.321
_cell_length_b 9.321
_cell_length_c 6.174
_cell_angle_alpha 90.00
_cell_angle_beta 90.00
_cell_angle_gamma 90.00
_symmetry_space_group_name_H-M 'I -4 2 d'
_symmetry_Int_Tables_number 122
_symmetry_space_group_name_Hall 'I -4 2bw'
loop_
_atom_site_label
_atom_site_type_symbol
_atom_site_fract_x
_atom_site_fract_y
_atom_site_fract_z
_atom_site_occupancy
Sc1 Sc 0.000 0.000 0.000 1
Cd1 Cd 0.000 0.000 0.500 1
Br1 Br 0.119 0.250 0.125 1
```

Calculated values
* magnetization: 0.001 Bohr magnetons per cell
* energy relative to the lowest polymorph listed for this composition: 0.180 eV per atom
* raw formation energy: -0.829 eV per atom